VASP calculation (GGA-PBE) on HfPaCuRh after structural relaxation.

Computed properties:
As for the energy of formation from the pure elements: -0.261 eV per atom. The volume comes out at 305.36 Å³/cell. The density of states at the Fermi level comes out at 28.50 states/eV/cell. The total moment is 0.10 μB per cell.

The structure in CIF format:
```
data_HfPaCuRh
_chemical_formula_sum 'Hf4 Pa4 Cu4 Rh4'
_space_group_name_H-M_alt 'F -4 3 m'
_space_group_IT_number 216
_space_group_name_Hall 'F -4 2 3'
_cell_length_a 6.734
_cell_length_b 6.734
_cell_length_c 6.734
_cell_angle_alpha 90.00
_cell_angle_beta 90.00
_cell_angle_gamma 90.00
loop_
_atom_site_label
_atom_site_fract_x
_atom_site_fract_y
_atom_site_fract_z
Hf1 0.000 0.000 0.000
Pa1 0.000 0.000 0.500
Cu1 0.250 0.250 0.750
Rh1 0.250 0.250 0.250
```



VASP calculation (GGA-PBE) on HfPaCuS6 after structural relaxation.

Computed properties:
The volume comes out at 200.85 Å³/cell. The density of states at the Fermi level comes out at 8.76 states/eV/cell. The formation energy from raw total energies is -0.904 eV per atom. The total moment is 0.00 μB per cell.

The structure in CIF format:
```
data_HfPaCuS6
_chemical_formula_sum 'Hf1 Pa1 Cu1 S6'
_space_group_name_H-M_alt 'P 3 1 2'
_space_group_IT_number 149
_cell_length_a 6.1662
_cell_length_b 6.1662
_cell_length_c 6.0995
_cell_angle_alpha 90.00
_cell_angle_beta 90.00
_cell_angle_gamma 120.00
loop_
_space_group_symop_operation_xyz
'x,y,z'
'-y,x-y,z'
'-x+y,-x,z'
'-y,-x,-z'
'-x+y,y,-z'
'x,x-y,-z'
loop_
_atom_site_label
_atom_site_fract_x
_atom_site_fract_y
_atom_site_fract_z
Hf1 0.0000 0.0000 0.0000
Pa1 0.6667 0.3333 0.5000
Cu1 0.3333 0.6667 0.0000
S1 0.0125 0.3427 0.2348
```



VASP calculation (GGA-PBE) on HfPaCuTc after structural relaxation.

Computed properties:
As for the energy of formation from the pure elements: -0.110 eV per atom. The volume comes out at 302.55 Å³/cell. The density of states at the Fermi level comes out at 18.33 states/eV/cell. The total moment is 0.00 μB per cell.

The structure in CIF format:
```
data_HfPaCuTc
_chemical_formula_sum 'Hf4 Pa4 Cu4 Tc4'
_space_group_name_H-M_alt 'F -4 3 m'
_space_group_IT_number 216
_space_group_name_Hall 'F -4 2 3'
_cell_length_a 6.713
_cell_length_b 6.713
_cell_length_c 6.713
_cell_angle_alpha 90.00
_cell_angle_beta 90.00
_cell_angle_gamma 90.00
loop_
_atom_site_label
_atom_site_fract_x
_atom_site_fract_y
_atom_site_fract_z
Hf1 0.000 0.000 0.000
Pa1 0.000 0.000 0.500
Cu1 0.250 0.250 0.750
Tc1 0.250 0.250 0.250
```